The following is a PBE calculation of a geometry-optimized Pu4GeH structure, from the Alexandria database.

POSCAR file:
```
Pu4GeH
1.0
4.8333 -1.8118 0.0000
4.8333 1.8118 0.0000
-4.7635 0.0000 6.0999
Pu Ge H
4 1 1
Direct
0.1004 0.1004 0.2770
0.2093 0.2093 0.8791
0.7907 0.7907 0.1209
0.8996 0.8996 0.7230
0.5000 0.5000 0.5000
0.5000 0.5000 0.0000
```

**Total moment**: 8.25 μB/f.u.
**SG**: C2/m (12)
**ΔE to the lowest computed polymorph**: 0.0 meV per atom

---

The following is a PBE calculation of a geometry-optimized Na6TlHg3 structure, from the Alexandria database.

POSCAR file:
```
Na6TlHg3
1.0
9.4005 0.0000 0.0000
0.0000 5.4564 0.0000
-4.2374 0.0000 10.8267
Na Tl Hg
12 2 6
Direct
0.0377 0.2500 0.4244
0.2006 0.7500 0.9049
0.2065 0.2500 0.1840
0.2230 0.7500 0.3719
0.3633 0.7500 0.6721
0.4522 0.7500 0.1938
0.5478 0.2500 0.8062
0.6367 0.2500 0.3279
0.7770 0.2500 0.6281
0.7935 0.7500 0.8160
0.7994 0.2500 0.0951
0.9623 0.7500 0.5756
0.1698 0.2500 0.7312
0.8302 0.7500 0.2688
0.0227 0.7500 0.0911
0.4033 0.2500 0.4933
0.4168 0.2500 0.0254
0.5832 0.7500 0.9746
0.5967 0.7500 0.5067
0.9773 0.2500 0.9089
```

**Energy relative to the elements**: -0.166 eV per atom
**Total moment**: 0.00 μB/f.u.
**SG**: P2_1/m (11)
**ΔE to the lowest computed polymorph**: 7.3 meV per atom

---

The following is a PBE calculation of a geometry-optimized Sr2CdTc2 structure, from the Alexandria database.

POSCAR file:
```
Sr2CdTc2
1.0
9.3817 0.0000 0.0000
0.0000 9.3817 0.0000
0.0000 0.0000 2.7940
Sr Cd Tc
4 2 4
Direct
0.1293 0.3707 0.0000
0.3707 0.8707 0.0000
0.6293 0.1293 0.0000
0.8707 0.6293 0.0000
0.0000 0.0000 0.0000
0.5000 0.5000 0.0000
0.1738 0.6738 0.5000
0.3262 0.1738 0.5000
0.6738 0.8262 0.5000
0.8262 0.3262 0.5000
```

**Energy relative to the elements**: 1.202 eV per atom
**Total moment**: 0.00 μB/f.u.
**SG**: P4/mbm (127)
**ΔE to the lowest computed polymorph**: 872.6 meV per atom

---

The following is a PBE calculation of a geometry-optimized IrCCl3 structure, from the Alexandria database.

POSCAR file:
```
IrCCl3
1.0
4.3742 0.0000 0.0000
0.0000 4.3742 0.0000
0.0000 0.0000 4.3742
Ir C Cl
1 1 3
Direct
0.0000 0.0000 0.0000
0.5000 0.5000 0.5000
0.0000 0.5000 0.5000
0.5000 0.0000 0.5000
0.5000 0.5000 0.0000
```

**Total moment**: 2.13 μB/f.u.
**SG**: Pm-3m (221)
**Uncorrected formation energy**: 1.789 eV per atom
**ΔE to the lowest computed polymorph**: 327.2 meV per atom

---

The following is a PBE calculation of a geometry-optimized SmLuHf2 structure, from the Alexandria database.

POSCAR file:
```
SmLuHf2
1.0
1.6530 0.9544 10.9381
-1.6530 0.9544 10.9381
0.0000 -1.9087 10.9381
Sm Lu Hf
1 1 2
Direct
0.0000 0.0000 0.0000
0.5000 0.5000 0.5000
0.2486 0.2486 0.2486
0.7514 0.7514 0.7514
```

**Energy relative to the elements**: 0.201 eV per atom
**Total moment**: 0.00 μB/f.u.
**SG**: R-3m (166)
**ΔE to the lowest computed polymorph**: 5.2 meV per atom

---

The following is a PBE calculation of a geometry-optimized CePr4Hg7 structure, from the Alexandria database.

POSCAR file:
```
CePr4Hg7
1.0
6.5610 -2.8609 0.0000
6.5610 2.8609 0.0000
-6.2957 0.0000 9.6221
Ce Pr Hg
1 4 7
Direct
0.0000 0.0000 0.0000
0.2571 0.2571 0.6714
0.4194 0.4194 0.2233
0.5806 0.5806 0.7767
0.7429 0.7429 0.3286
0.0780 0.0780 0.3290
0.2062 0.2062 0.9139
0.3630 0.3630 0.4626
0.5000 0.5000 0.0000
0.6370 0.6370 0.5374
0.7938 0.7938 0.0861
0.9220 0.9220 0.6710
```

**Energy relative to the elements**: -0.297 eV per atom
**Total moment**: 1.22 μB/f.u.
**SG**: C2/m (12)

---

The following is a PBE calculation of a geometry-optimized SmMg2Zr structure, from the Alexandria database.

POSCAR file:
```
SmMg2Zr
1.0
1.6119 0.9306 11.2860
-1.6119 0.9306 11.2860
0.0000 -1.8613 11.2860
Sm Mg Zr
1 2 1
Direct
0.0000 0.0000 0.0000
0.2456 0.2456 0.2456
0.7544 0.7544 0.7544
0.5000 0.5000 0.5000
```

**Energy relative to the elements**: 0.102 eV per atom
**Total moment**: 0.00 μB/f.u.
**SG**: R-3m (166)
**ΔE to the lowest computed polymorph**: 77.2 meV per atom

---

The following is a PBE calculation of a geometry-optimized CrCuRe structure, from the Alexandria database.

POSCAR file:
```
CrCuRe
1.0
0.0000 2.8296 2.8296
2.8296 0.0000 2.8296
2.8296 2.8296 0.0000
Cr Cu Re
1 1 1
Direct
0.0000 0.0000 0.0000
0.2500 0.2500 0.2500
0.7500 0.7500 0.7500
```

**Energy relative to the elements**: 0.780 eV per atom
**Total moment**: 0.00 μB/f.u.
**SG**: F-43m (216)
**ΔE to the lowest computed polymorph**: 598.0 meV per atom